[1]
# BePbAu

An optimized crystal structure of BePbAu (GGA-PBE, Alexandria).

a = 3.597 Å, b = 3.597 Å, c = 5.489 Å
α = 90.00°, β = 90.00°, γ = 120.00°
Element x y z (fractional)
Au 0.000 0.000 0.090
Be 0.667 0.333 0.262
Pb 0.333 0.667 0.648

Output
Calculated total energy (eV/cell): -10.26
Symmetry: P3m1 (156)
Calculated formation energy (eV/atom): 0.15
Total magnetization (μB/f.u.): 0.0
Energy above the lowest structure with this stoichiometry (meV per atom): 179


[2]
# BePb2Au

An optimized crystal structure of BePb2Au (GGA-PBE, Alexandria).

a = 6.051 Å, b = 6.051 Å, c = 6.051 Å
α = 139.40°, β = 139.40°, γ = 58.76°
Element x y z (fractional)
Be 0.750 0.250 0.500
Pb 0.250 0.750 0.500
Pb 0.000 0.000 0.000
Au 0.500 0.500 0.000

Output
Calculated total energy (eV/cell): -12.64
Symmetry: I-4m2 (119)
Calculated formation energy (eV/atom): 0.44
Total magnetization (μB/f.u.): 0.0


[3]
# Be2PbAu

An optimized crystal structure of Be2PbAu (GGA-PBE, Alexandria).

a = 3.374 Å, b = 4.407 Å, c = 4.407 Å
α = 90.00°, β = 90.00°, γ = 90.00°
Element x y z (fractional)
Au 0.500 0.000 0.500
Be 0.000 0.500 0.500
Be 0.000 0.000 0.000
Pb 0.500 0.500 0.000

Output
Calculated total energy (eV/cell): -12.26
Symmetry: P4/mmm (123)
Calculated formation energy (eV/atom): 0.55
Total magnetization (μB/f.u.): 0.0